Model i:
The following is a DFT calculation (PBE) of BaHoAs2 after structural relaxation.

Cell lengths 4.2497, 4.2497, 8.1507 Å; angles 74.89, 74.89, 60.00 degrees
Positions (direct):
As (0.2643, 0.2643, 0.2070)
As (0.0697, 0.0697, 0.7910)
Ba (0.4970, 0.4970, 0.5089)
Ho (0.6690, 0.6690, 0.9931)

As for the size of the total moment: 0.000 μB per cell.

---

Model ii:
The following is a DFT calculation (PBE) of BaHoAs2 after structural relaxation.

Cell lengths 4.3671, 4.3671, 7.7756 Å; angles 73.69, 73.69, 60.00 degrees
Positions (direct):
As (0.2653, 0.2653, 0.2041)
As (0.7347, 0.7347, 0.7959)
Ba (0.5000, 0.5000, 0.5000)
Ho (0.0000, 0.0000, 0.0000)

As for the size of the total moment: 0.000 μB per cell.

---

The calculated energies rank the structures as follows, beginning with the most stable: model ii, model i.

---

Model i:
The following is a DFT calculation (PBE) of BaAsI3 after structural relaxation.

Cell lengths 6.7963, 6.7963, 6.7963 Å; angles 90.00, 90.00, 90.00 degrees
Site moments in Bohr magnetons follow the coordinates.
Positions (direct):
I (0.0000, 0.5000, 0.0000)  -0.12
I (0.0000, 0.0000, 0.5000)  -0.09
I (0.5000, 0.0000, 0.0000)  -0.14
As (0.5000, 0.5000, 0.5000)  1.14
Ba (0.0000, 0.0000, 0.0000)  0.00

As for the size of the total moment: 2.000 μB per cell.

---

Model ii:
The following is a DFT calculation (PBE) of BaAsI3 after structural relaxation.

Cell lengths 5.8702, 5.8702, 5.8702 Å; angles 90.00, 90.00, 90.00 degrees
Positions (direct):
I (0.0000, 0.0000, 0.5000)
I (0.5000, 0.0000, 0.0000)
I (0.0000, 0.5000, 0.0000)
Ba (0.5000, 0.5000, 0.5000)
As (0.0000, 0.0000, 0.0000)

As for the size of the total moment: 0.000 μB per cell.

---

The calculated energies rank the structures as follows, beginning with the most stable: model ii, model i.